MgVPbF6 (GGA+U, relaxed); final energy = -5.527 eV per atom; SG = P-31c, No. 163; N(E_F) = 0.000 states/eV/f.u.
1.0
5.4871 0.0000 0.0000
-2.7435 4.7519 0.0000
0.0000 0.0000 10.4825
Mg F V Pb
2 12 2 2
Direct
0.3333 0.6667 0.7500
0.6667 0.3333 0.2500
0.6442 0.0140 0.3554
0.6302 0.6442 0.6446
0.6302 0.9860 0.8554
0.6442 0.6302 0.1446
0.0140 0.3698 0.6446
0.9860 0.6302 0.3554
0.3558 0.9860 0.6446
0.0140 0.6442 0.8554
0.3698 0.0140 0.1446
0.3698 0.3558 0.3554
0.9860 0.3558 0.1446
0.3558 0.3698 0.8554
0.3333 0.6667 0.2500
0.6667 0.3333 0.7500
0.0000 0.0000 0.0000
0.0000 0.0000 0.5000